No. 1
Below is a geometry-optimized Na2TaPbSe4 structure, with properties calculated at the GGA-PBE level. Values from VASP.

Quantum ESPRESSO input file:
```
&SYSTEM
  ibrav = 0, nat = 16, ntyp = 4
/
ATOMIC_SPECIES
Na 22.99 Na.upf
Pb 207.20 Pb.upf
Se 78.96 Se.upf
Ta 180.95 Ta.upf
CELL_PARAMETERS angstrom
6.8311 0.0000 0.0000
0.0000 7.6320 0.0000
0.0000 0.0000 10.0222
ATOMIC_POSITIONS crystal
Na 0.9824 0.6725 0.2373
Na 0.9824 0.6725 0.7627
Na 0.4824 0.3275 0.2627
Na 0.4824 0.3275 0.7373
Pb 0.4302 0.8443 0.0000
Pb 0.9302 0.1557 0.5000
Se 0.9095 0.2961 0.2028
Se 0.3807 0.1410 0.5000
Se 0.8821 0.7909 0.5000
Se 0.4095 0.7039 0.7028
Se 0.3821 0.2091 0.0000
Se 0.9095 0.2961 0.7972
Se 0.8807 0.8590 0.0000
Se 0.4095 0.7039 0.2972
Ta 0.0233 0.1553 0.0000
Ta 0.5233 0.8447 0.5000
```

For the volume, the calculation gives 32.66 Å³ per atom. The calculation puts the formation energy without anion corrections at -70.3 kJ per mole of atoms.

=====

No. 2
Below is a geometry-optimized NaTb2Pb3Se6 structure, with properties calculated at the GGA-PBE level. Values from VASP.

Quantum ESPRESSO input file:
```
&SYSTEM
  ibrav = 0, nat = 12, ntyp = 4
/
ATOMIC_SPECIES
Na 22.99 Na.upf
Se 78.96 Se.upf
Tb 158.93 Tb.upf
Pb 207.20 Pb.upf
CELL_PARAMETERS angstrom
-3.8094 -0.7467 1.3999
0.1329 -8.2009 -4.0127
5.3580 -1.1394 7.8905
ATOMIC_POSITIONS crystal
Na 0.5000 0.0000 0.0000
Se 0.0089 0.2542 0.0177
Se 0.6721 0.1149 0.3442
Se 0.9911 0.7458 0.9823
Se 0.3279 0.8851 0.6558
Se 0.3281 0.4408 0.6562
Se 0.6719 0.5592 0.3438
Tb 0.8354 0.6686 0.6708
Tb 0.1646 0.3314 0.3292
Pb 0.8405 0.1623 0.6809
Pb 0.5000 0.5000 0.0000
Pb 0.1595 0.8377 0.3191
```

For the volume, the calculation gives 28.50 Å³ per atom. The calculation puts the formation energy without anion corrections at -105.0 kJ per mole of atoms.

=====

No. 3
Below is a geometry-optimized NaTbPb2Se4 structure, with properties calculated at the GGA-PBE level. Values from VASP.

Quantum ESPRESSO input file:
```
&SYSTEM
  ibrav = 0, nat = 8, ntyp = 4
/
ATOMIC_SPECIES
Se 78.96 Se.upf
Tb 158.93 Tb.upf
Pb 207.20 Pb.upf
Na 22.99 Na.upf
CELL_PARAMETERS angstrom
4.2729 0.0000 0.0000
0.0000 7.3788 0.1754
0.0000 -2.5365 7.0134
ATOMIC_POSITIONS crystal
Se 0.0000 0.2431 0.7637
Se 0.5000 0.2363 0.2297
Se 0.5000 0.7637 0.7703
Se 0.0000 0.7569 0.2363
Tb 0.0000 0.0000 0.0000
Pb 0.0000 0.5000 0.5000
Pb 0.5000 0.0000 0.5000
Na 0.5000 0.5000 0.0000
```

For the volume, the calculation gives 27.88 Å³ per atom. The calculation puts the formation energy without anion corrections at -104.7 kJ per mole of atoms.

=====

No. 4
Below is a geometry-optimized NaTcPb2Se structure, with properties calculated at the GGA-PBE level. Values from VASP.

Quantum ESPRESSO input file:
```
&SYSTEM
  ibrav = 0, nat = 5, ntyp = 4
/
ATOMIC_SPECIES
Tc 98.00 Tc.upf
Pb 207.20 Pb.upf
Se 78.96 Se.upf
Na 22.99 Na.upf
CELL_PARAMETERS angstrom
5.4626 0.0000 0.0000
0.0000 4.9504 0.0000
0.0000 0.0000 5.4626
ATOMIC_POSITIONS crystal
Tc 0.0000 0.5000 0.0000
Pb 0.0000 0.0000 0.5000
Pb 0.5000 0.0000 0.0000
Se 0.5000 0.5000 0.5000
Na 0.0000 0.0000 0.0000
```

For the volume, the calculation gives 29.54 Å³ per atom. The calculation puts the formation energy without anion corrections at 122.7 kJ per mole of atoms.